Record 1
# PBE RuC3I, optimized geometry
# **Raw formation energy**: 3651 meV/atom
# **M_tot**: 1.0 Bohr magnetons per cell
data_RuC3I
_cell_length_a 4.059
_cell_length_b 4.059
_cell_length_c 4.059
_cell_angle_alpha 90.00
_cell_angle_beta 90.00
_cell_angle_gamma 90.00
_space_group_name_H-M_alt 'P m -3 m'
_space_group_IT_number 221
_space_group_name_Hall '-P 4 2 3'
loop_
_atom_site_label
_atom_site_fract_x
_atom_site_fract_y
_atom_site_fract_z
Ru1 0.000 0.000 0.000
C1 0.000 0.500 0.500
I1 0.500 0.500 0.500

***

Record 2
# PBE Ru2CI, optimized geometry
# **Raw formation energy**: 653 meV/atom
# **M_tot**: 0.0 Bohr magnetons per cell
data_Ru2CI
_cell_length_a 5.135
_cell_length_b 5.135
_cell_length_c 10.612
_cell_angle_alpha 90.00
_cell_angle_beta 90.00
_cell_angle_gamma 90.00
_space_group_name_H-M_alt 'I -4 2 d'
_space_group_IT_number 122
_space_group_name_Hall 'I -4 2bw'
loop_
_atom_site_label
_atom_site_fract_x
_atom_site_fract_y
_atom_site_fract_z
Ru1 0.142 0.250 0.125
C1 0.000 0.000 0.000
I1 0.000 0.000 0.500

***

Record 3
# PBE RuCI2, optimized geometry
# **Raw formation energy**: 2028 meV/atom
# **M_tot**: 0.0 Bohr magnetons per cell
data_RuCI2
_cell_length_a 6.695
_cell_length_b 6.695
_cell_length_c 6.695
_cell_angle_alpha 90.00
_cell_angle_beta 90.00
_cell_angle_gamma 90.00
_space_group_name_H-M_alt 'F m -3 m'
_space_group_IT_number 225
_space_group_name_Hall '-F 4 2 3'
loop_
_atom_site_label
_atom_site_fract_x
_atom_site_fract_y
_atom_site_fract_z
Ru1 0.000 0.000 0.000
C1 0.000 0.000 0.500
I1 0.250 0.250 0.250

***

Record 4
# PBE RuCI2, optimized geometry
# **Raw formation energy**: 1720 meV/atom
# **M_tot**: 0.0 Bohr magnetons per cell
data_RuCI2
_cell_length_a 5.705
_cell_length_b 5.705
_cell_length_c 11.975
_cell_angle_alpha 90.00
_cell_angle_beta 90.00
_cell_angle_gamma 90.00
_space_group_name_H-M_alt 'I -4 2 d'
_space_group_IT_number 122
_space_group_name_Hall 'I -4 2bw'
loop_
_atom_site_label
_atom_site_fract_x
_atom_site_fract_y
_atom_site_fract_z
Ru1 0.000 0.000 0.000
C1 0.000 0.000 0.500
I1 0.234 0.250 0.625

***

Please write out number 3 again, unchanged.
# PBE RuCI2, optimized geometry
# **Raw formation energy**: 2028 meV/atom
# **M_tot**: 0.0 Bohr magnetons per cell
data_RuCI2
_cell_length_a 6.695
_cell_length_b 6.695
_cell_length_c 6.695
_cell_angle_alpha 90.00
_cell_angle_beta 90.00
_cell_angle_gamma 90.00
_space_group_name_H-M_alt 'F m -3 m'
_space_group_IT_number 225
_space_group_name_Hall '-F 4 2 3'
loop_
_atom_site_label
_atom_site_fract_x
_atom_site_fract_y
_atom_site_fract_z
Ru1 0.000 0.000 0.000
C1 0.000 0.000 0.500
I1 0.250 0.250 0.250

***

Q: The highest raw formation energy belongs to which entry?
A: RuC3I